## BaMo (PBE)

Data for BaMo after structural relaxation.

```
BaMo
1.0
5.8593 0.0000 0.0000
0.0000 7.9708 0.0000
0.0000 0.0000 8.7996
Mo Ba
6 6
direct
0.0000 0.9397 0.8609
0.5000 0.3065 0.5000
0.0000 0.9397 0.1391
0.0000 0.6935 0.0000
0.5000 0.0603 0.3609
0.5000 0.0603 0.6391
0.0000 0.8348 0.5000
0.5000 0.6734 0.2288
0.0000 0.3266 0.7288
0.5000 0.6734 0.7712
0.5000 0.1652 0.0000
0.0000 0.3266 0.2712
```

For the energy of formation, the calculation gives 0.8075 eV/atom. Its total DFT energy (no corrections) is -5.57 eV/atom. The symmetry is No. 59. The calculated volume comes out at 34.2 Å³/atom. The value obtained for the polymorph energy (0 for the lowest one) is 248.7 meV per atom.